{
  "formula": "Ac4Sn4Bi",
  "functional": "PBE",
  "state": "relaxed",
  "ef_ev_per_atom": -0.4646,
  "e_tot_ev_per_fu": -40.51,
  "sg": "No. 86",
  "cell": [[9.759, 0.000, 0.000], [0.000, 9.759, 0.000], [0.000, 0.000, 6.759]],
  "species": ["Ac", "Ac", "Ac", "Ac", "Ac", "Ac", "Ac", "Ac", "Sn", "Sn", "Sn", "Sn", "Sn", "Sn", "Sn", "Sn", "Bi", "Bi"],
  "fractional_positions": [[0.066, 0.821, 0.112], [0.179, 0.566, 0.612], [0.321, 0.934, 0.612], [0.434, 0.679, 0.112], [0.566, 0.321, 0.888], [0.679, 0.066, 0.388], [0.821, 0.434, 0.388], [0.934, 0.179, 0.888], [0.034, 0.134, 0.379], [0.134, 0.466, 0.121], [0.366, 0.034, 0.121], [0.466, 0.366, 0.379], [0.534, 0.634, 0.621], [0.634, 0.966, 0.879], [0.866, 0.534, 0.879], [0.966, 0.866, 0.621], [0.250, 0.250, 0.750], [0.750, 0.750, 0.250]]
}